The following is a DFT calculation (SCAN) of a crystal of CsLiNbRh2 relaxed with PBEsol.

Density of states at the Fermi level = 3.9 states/eV/cell
Total energy = -129.90 eV per cell
Magnetic moment = 2.28 Bohr magnetons per cell

a = 4.8746 Å, b = 4.8746 Å, c = 5.0505 Å
α = 90.00°, β = 90.00°, γ = 90.00°
Last column: nearest neighbours and their distance in Å.
Element x y z (fractional)
Cs (0.0000, 0.0000, 0.0000)  4 Rh 2.44, 2 Nb 2.53
Li (0.5000, 0.5000, 0.5000)  4 Nb 3.45, 8 Rh 3.51
Nb (0.0000, 0.0000, 0.5000)  2 Cs 2.53
Rh (0.0000, 0.5000, 0.0000)  2 Cs 2.44
Rh (0.5000, 0.0000, 0.0000)  2 Cs 2.44